# NiGeN2F

Crystalline NiGeN2F at its relaxed geometry (PBE+U, Alexandria via LeMat-Bulk).

Lattice parameters (Å, degrees): 3.802 3.802 3.983 90.00 90.00 90.00
Sites, in units of the cell vectors:
Ni: 0.000 0.000 0.000
Ge: 0.500 0.500 0.500
N: 0.000 0.500 0.000
N: 0.500 0.000 0.000
F: 0.000 0.000 0.500

* energy above the lowest structure with this stoichiometry: 0.769 eV/f.u.
* E: -4.433 eV per atom
* V: 57.6 Å³ per cell
* Fermi-level density of states: 0.3553 states/eV/atom